A plane-wave DFT calculation with GGA+U was carried out for ThMoO3 after structural relaxation.

a b c (Å): 4.1060 4.1060 4.1060
angles (deg): 90.00 90.00 90.00
With the nearest neighbours (Å) after each atom.
Fractional positions:
Th  0.0000  0.0000  0.0000  12 O 2.90
Mo  0.5000  0.5000  0.5000  6 O 2.05
O  0.0000  0.5000  0.5000  2 Mo 2.05
O  0.5000  0.0000  0.5000  2 Mo 2.05
O  0.5000  0.5000  0.0000  2 Mo 2.05

Computed properties:
As for the crystal system: cubic. Its volume is 69 Å³ per cell. The total energy is -39.222 eV/f.u. The value obtained for the total moment is 0.498 μB/atom.